VASP calculation (PBE-GGA) on an optimized crystal structure of Tm2NpUC4.

Properties
Total energy = -8.969 eV/atom
Total magnetization = 2.42 μB/f.u.
Energy of formation = -0.210 eV/atom

Unit cell a=6.001 b=3.547 c=6.142 alpha=90.00 beta=109.55 gamma=90.00
Space group P2/m (No. 10)
One atom of each set of equivalent atoms:
Tm1 0.000 0.000 0.000 (multiplicity 1)
Tm2 0.000 0.500 0.500 (multiplicity 1)
Np1 0.500 0.000 0.500 (multiplicity 1)
U1 0.500 0.500 0.000 (multiplicity 1)
C1 0.278 0.500 0.255 (multiplicity 2)
C2 0.281 0.000 0.760 (multiplicity 2)